## Ac3PrSm2Te6 (GGA-PBE)

Data for Ac3PrSm2Te6 after structural relaxation.

Values from the calculation:
Energy in eV per atom: -5.226
Magnetization in μB/cell: 0.00
Uncorrected formation energy in eV per atom: -1.443

Cell lengths 10.315, 10.315, 9.280 Å; angles 103.81, 103.81, 25.59 degrees
Element x y z (fractional)
Ac 0.000 0.000 0.000
Ac 0.335 0.335 0.668
Ac 0.665 0.665 0.332
Pr 0.000 0.000 0.500
Sm 0.334 0.334 0.168
Sm 0.666 0.666 0.832
Te 0.165 0.165 0.595
Te 0.171 0.171 0.072
Te 0.495 0.495 0.255
Te 0.505 0.505 0.745
Te 0.829 0.829 0.928
Te 0.835 0.835 0.405